A plane-wave DFT calculation with GGA+U was carried out for a geometry-optimized NaCoNF2 structure.

The space group is P4/mmm (No. 123) and the conventional cell measures 4.168, 4.168 and 3.445 Å, with angles of 90.00, 90.00 and 90.00 degrees. Symmetry generates all atoms from Na at (0.000, 0.000, 0.000), Co at (0.500, 0.500, 0.500), N at (0.500, 0.500, 0.000) and F at (0.000, 0.500, 0.500).

For the density, the calculation gives 3.72 g/cm3. The value obtained for the density of states at the Fermi level is 1.288 states/eV/f.u. The total energy comes out at -4.72 eV per atom. As for the volume: 59.84 Å³ per cell.